No. 1
Density functional theory data (GGA-PBE) for NaHfGe2Te after structural relaxation.

Calculated values
For the density of states at the Fermi level, the calculation gives 4.82 states/eV/cell. The calculation puts the formation energy from raw total energies at 1060.8 meV per atom.

Lattice parameters (Å, degrees): 4.8526 5.4938 4.8526 90.00 90.00 90.00
With the nearest neighbours (Å) after each atom.
Atoms (fractional coordinates):
Ge  0.0000  0.0000  0.5000  2 Na 2.43
Ge  0.5000  0.0000  0.0000  2 Na 2.43
Hf  0.0000  0.5000  0.0000  2 Na 2.75
Na  0.0000  0.0000  0.0000  4 Ge 2.43
Te  0.5000  0.5000  0.5000  4 Hf 3.43, 8 Ge 3.67

No. 2
Density functional theory data (GGA-PBE) for NaHf2VGe after structural relaxation.

Calculated values
For the density of states at the Fermi level, the calculation gives 3.86 states/eV/cell. The calculation puts the calculated formation energy at 1.662 eV per atom.

Lattice parameters (Å, degrees): 4.9188 4.4903 4.9188 90.00 90.00 90.00
With the nearest neighbours (Å) after each atom.
Atoms (fractional coordinates):
Hf  0.5000  0.0000  0.0000  2 Na 2.46
Hf  0.0000  0.0000  0.5000  2 Na 2.46
Na  0.0000  0.0000  0.0000  2 V 2.25, 4 Hf 2.46
Ge  0.5000  0.5000  0.5000  8 Hf 3.33, 4 V 3.48
V  0.0000  0.5000  0.0000  2 Na 2.25

No. 3
Density functional theory data (GGA-PBE) for Hf5NbGe4 after structural relaxation.

Calculated values
For the density of states at the Fermi level, the calculation gives 7.21 states/eV/cell. The calculation puts the calculated formation energy at -0.218 eV per atom.

Lattice parameters (Å, degrees): 3.9446 6.9000 8.7908 116.11 102.97 90.00
With the nearest neighbours (Å) after each atom.
Atoms (fractional coordinates):
Hf  0.1796  0.3459  0.3593  3 Ge 2.63-2.68
Hf  0.8204  0.6541  0.6407  3 Ge 2.63-2.68
Hf  0.1607  0.7945  0.3215  4 Ge 2.68-2.83
Hf  0.8393  0.2055  0.6785  4 Ge 2.68-2.83
Hf  0.5000  0.5000  0.0000  4 Ge 2.63
Ge  0.0142  0.2654  0.0284  2 Nb 2.63, 4 Hf 2.63-2.83
Ge  0.9858  0.7346  0.9716  2 Nb 2.63, 4 Hf 2.63-2.83
Ge  0.3339  0.9309  0.6678  1 Nb 2.67, 5 Hf 2.68-2.71
Ge  0.6661  0.0691  0.3322  1 Nb 2.67, 5 Hf 2.68-2.71
Nb  0.5000  0.0000  0.0000  6 Ge 2.63-2.67

No. 4
Density functional theory data (GGA-PBE) for HfNb2Ge after structural relaxation.

Calculated values
For the density of states at the Fermi level, the calculation gives 5.04 states/eV/cell. The calculation puts the calculated formation energy at -0.445 eV per atom.

Lattice parameters (Å, degrees): 4.1096 3.6386 10.0728 100.38 90.00 90.00
With the nearest neighbours (Å) after each atom.
Atoms (fractional coordinates):
Hf  0.2500  0.3042  0.6093  5 Ge 2.78-2.81
Hf  0.7500  0.6958  0.3907  5 Ge 2.78-2.81
Nb  0.7500  0.4407  0.8823  6 Nb 2.75-3.08, 2 Ge 2.77
Nb  0.2500  0.9335  0.8674  6 Nb 2.75-3.08, 2 Ge 2.83
Nb  0.2500  0.5593  0.1177  6 Nb 2.75-3.08, 2 Ge 2.77
Nb  0.7500  0.0665  0.1326  6 Nb 2.75-3.08, 2 Ge 2.83
Ge  0.7500  0.8354  0.6713  4 Nb 2.77-2.83, 5 Hf 2.78-2.81
Ge  0.2500  0.1646  0.3287  4 Nb 2.77-2.83, 5 Hf 2.78-2.81

No. 5
Density functional theory data (GGA-PBE) for HfNbGe2 after structural relaxation.

Calculated values
For the density of states at the Fermi level, the calculation gives 5.14 states/eV/cell. The calculation puts the calculated formation energy at -0.361 eV per atom. For the energy above the most stable polymorph in this dataset, the calculation gives 0.0000 eV/atom.

Lattice parameters (Å, degrees): 3.7469 6.5207 6.6217 99.69 106.43 90.00
With the nearest neighbours (Å) after each atom.
Atoms (fractional coordinates):
Nb  0.0000  0.0000  0.5000  6 Ge 2.64-2.65
Nb  0.5000  0.5000  0.5000  6 Ge 2.64-2.65
Hf  0.7501  0.2500  0.0000  6 Ge 2.70
Hf  0.2499  0.7500  0.0000  6 Ge 2.70
Ge  0.6210  0.8736  0.7421  3 Nb 2.64-2.65, 3 Hf 2.70
Ge  0.1211  0.3736  0.7421  3 Nb 2.64-2.65, 3 Hf 2.70
Ge  0.8789  0.6264  0.2579  3 Nb 2.64-2.65, 3 Hf 2.70
Ge  0.3790  0.1264  0.2579  3 Nb 2.64-2.65, 3 Hf 2.70

No. 6
Density functional theory data (GGA-PBE) for HfNb5Ge4 after structural relaxation.

Calculated values
For the density of states at the Fermi level, the calculation gives 13.72 states/eV/cell. The calculation puts the calculated formation energy at -0.026 eV per atom.

Lattice parameters (Å, degrees): 5.5116 8.3789 8.3205 90.00 90.00 90.00
With the nearest neighbours (Å) after each atom.
Atoms (fractional coordinates):
Nb  0.2509  0.7897  0.2716  4 Ge 2.63-2.71, 3 Nb 2.85-2.90
Nb  0.2509  0.2103  0.2716  4 Ge 2.63-2.71, 3 Nb 2.85-2.90
Nb  0.5122  0.5000  0.0000  4 Ge 2.66-2.88, 4 Nb 2.90
Nb  0.7491  0.7103  0.2284  4 Ge 2.63-2.71, 3 Nb 2.85-2.90
Nb  0.7491  0.2897  0.7716  4 Ge 2.63-2.71, 3 Nb 2.85-2.90
Nb  0.2509  0.2103  0.7284  4 Ge 2.63-2.71, 3 Nb 2.85-2.90
Nb  0.2509  0.7897  0.7284  4 Ge 2.63-2.71, 3 Nb 2.85-2.90
Nb  0.7491  0.2897  0.2284  4 Ge 2.63-2.71, 3 Nb 2.85-2.90
Nb  0.7491  0.7103  0.7716  4 Ge 2.63-2.71, 3 Nb 2.85-2.90
Nb  0.4878  0.0000  0.5000  4 Ge 2.66-2.88, 4 Nb 2.90
Ge  0.5115  0.6562  0.5000  1 Ge 2.62, 5 Nb 2.63-2.88
Ge  0.0997  0.5000  0.8336  5 Nb 2.66-2.71, 1 Ge 2.77, 1 Hf 2.83
Ge  0.4885  0.8438  0.0000  1 Ge 2.62, 5 Nb 2.63-2.88
Ge  0.0997  0.5000  0.1664  5 Nb 2.66-2.71, 1 Ge 2.77, 1 Hf 2.83
Ge  0.9003  0.0000  0.3336  5 Nb 2.66-2.71, 1 Ge 2.77, 1 Hf 2.83
Ge  0.5115  0.3438  0.5000  1 Ge 2.62, 5 Nb 2.63-2.88
Ge  0.9003  0.0000  0.6664  5 Nb 2.66-2.71, 1 Ge 2.77, 1 Hf 2.83
Ge  0.4885  0.1562  0.0000  1 Ge 2.62, 5 Nb 2.63-2.88
Hf  0.0009  0.5000  0.5000  6 Ge 2.83-3.10
Hf  0.9991  0.0000  0.0000  6 Ge 2.83-3.10

No. 7
Density functional theory data (GGA-PBE) for Hf2NbGe2 after structural relaxation.

Calculated values
For the density of states at the Fermi level, the calculation gives 4.12 states/eV/cell. The calculation puts the calculated formation energy at -0.688 eV per atom.

Lattice parameters (Å, degrees): 6.9653 6.9653 3.7614 90.00 90.00 90.00
With the nearest neighbours (Å) after each atom.
Atoms (fractional coordinates):
Hf  0.3269  0.1731  0.5000  6 Ge 2.70-2.84
Hf  0.8269  0.3269  0.5000  6 Ge 2.70-2.84
Hf  0.1731  0.6731  0.5000  6 Ge 2.70-2.84
Hf  0.6731  0.8269  0.5000  6 Ge 2.70-2.84
Nb  0.0000  0.0000  0.0000  4 Ge 2.73
Nb  0.5000  0.5000  0.0000  4 Ge 2.73
Ge  0.3698  0.8698  0.0000  1 Ge 2.56, 6 Hf 2.70-2.84, 2 Nb 2.73
Ge  0.6302  0.1302  0.0000  1 Ge 2.56, 6 Hf 2.70-2.84, 2 Nb 2.73
Ge  0.8698  0.6302  0.0000  1 Ge 2.56, 6 Hf 2.70-2.84, 2 Nb 2.73
Ge  0.1302  0.3698  0.0000  1 Ge 2.56, 6 Hf 2.70-2.84, 2 Nb 2.73

No. 8
Density functional theory data (GGA-PBE) for Hf2NbGe6 after structural relaxation.

Calculated values
For the density of states at the Fermi level, the calculation gives 3.18 states/eV/cell. The calculation puts the calculated formation energy at -0.419 eV per atom.

Lattice parameters (Å, degrees): 5.0753 5.0897 6.9877 90.00 90.00 119.91
With the nearest neighbours (Å) after each atom.
Atoms (fractional coordinates):
Hf  0.0000  0.5000  0.6652  10 Ge 2.76-2.96
Hf  0.5000  0.5000  0.3348  10 Ge 2.76-2.96
Ge  0.8334  0.6668  0.0000  5 Ge 2.73-2.94, 2 Hf 2.76, 3 Nb 2.93-2.94
Ge  0.3265  0.1617  0.6701  5 Ge 2.73-2.99, 1 Nb 2.74, 4 Hf 2.78-2.96
Ge  0.1648  0.8383  0.3299  5 Ge 2.73-2.99, 1 Nb 2.74, 4 Hf 2.78-2.96
Ge  0.6735  0.8383  0.6701  5 Ge 2.73-2.99, 1 Nb 2.74, 4 Hf 2.78-2.96
Ge  0.8352  0.1617  0.3299  5 Ge 2.73-2.99, 1 Nb 2.74, 4 Hf 2.78-2.96
Ge  0.1666  0.3332  0.0000  5 Ge 2.73-2.94, 2 Hf 2.76, 3 Nb 2.93-2.94
Nb  0.5000  0.0000  0.0000  10 Ge 2.74-2.94